VASP calculation (GGA-PBE) on a relaxed YTmHg6 crystal.

abc: 6.5840 6.5840 4.9850
angles: 90.00 90.00 120.00
Fractional positions:
Hg  0.4994  0.9988  0.0000
Hg  0.1658  0.3316  0.5000
Hg  0.1658  0.8342  0.5000
Hg  0.0012  0.5006  0.0000
Hg  0.6684  0.8342  0.5000
Hg  0.4994  0.5006  0.0000
Tm  0.0000  0.0000  0.0000
Y  0.6667  0.3333  0.5000

Results
E_form (eV/f.u.): -2.665
Energy above the lowest structure with this stoichiometry (meV/atom): 0.0
DFT total energy (eV/atom): -1.924


VASP calculation (GGA-PBE) on a relaxed YTmHg crystal.

abc: 5.0632 5.0632 5.0632
angles: 60.00 60.00 60.00
Fractional positions:
Hg  0.0000  0.0000  0.0000
Tm  0.2500  0.2500  0.2500
Y  0.7500  0.7500  0.7500

Results
E_form (eV/f.u.): -0.404
Energy above the lowest structure with this stoichiometry (meV/atom): 250.9
DFT total energy (eV/atom): -3.881


VASP calculation (GGA-PBE) on a relaxed YTmHg6 crystal.

abc: 4.8580 6.4860 6.4860
angles: 65.93 90.00 90.00
Fractional positions:
Hg  0.0000  0.6740  0.6740
Hg  0.5000  0.3236  0.3236
Hg  0.5000  0.3624  0.8246
Hg  0.0000  0.1798  0.6359
Hg  0.0000  0.6359  0.1798
Hg  0.5000  0.8246  0.3624
Tm  0.0000  0.1415  0.1415
Y  0.5000  0.8582  0.8582

Results
E_form (eV/f.u.): -2.593
Energy above the lowest structure with this stoichiometry (meV/atom): 9.0
DFT total energy (eV/atom): -1.915


VASP calculation (GGA-PBE) on a relaxed Y4TmHg5 crystal.

abc: 3.7011 3.7011 18.5603
angles: 90.00 90.00 90.00
Fractional positions:
Hg  0.5000  0.5000  0.0965
Hg  0.5000  0.5000  0.2991
Hg  0.5000  0.5000  0.7009
Hg  0.5000  0.5000  0.5000
Hg  0.5000  0.5000  0.9035
Y  0.0000  0.0000  0.1982
Y  0.0000  0.0000  0.6006
Y  0.0000  0.0000  0.3994
Y  0.0000  0.0000  0.8018
Tm  0.0000  0.0000  0.0000

Results
E_form (eV/f.u.): -5.053
DFT total energy (eV/atom): -3.688


VASP calculation (GGA-PBE) on a relaxed YTm6Hg crystal.

abc: 6.9764 6.9764 5.5002
angles: 90.00 90.00 120.00
Fractional positions:
Tm  0.6694  0.8347  0.0000
Tm  0.5033  0.0066  0.5000
Tm  0.1653  0.3306  0.0000
Tm  0.9934  0.4967  0.5000
Tm  0.5033  0.4967  0.5000
Tm  0.1653  0.8347  0.0000
Y  0.6667  0.3333  0.0000
Hg  0.0000  0.0000  0.5000

Results
E_form (eV/f.u.): -0.198
DFT total energy (eV/atom): -4.226


VASP calculation (GGA-PBE) on a relaxed YTmHg crystal.

abc: 7.0979 5.0295 9.1104
angles: 90.00 90.00 90.00
Fractional positions:
Y  0.0166  0.7500  0.8075
Y  0.5166  0.7500  0.6925
Y  0.4834  0.2500  0.3075
Y  0.9834  0.2500  0.1925
Hg  0.7429  0.7500  0.3977
Hg  0.2429  0.7500  0.1023
Hg  0.2571  0.2500  0.6023
Hg  0.7571  0.2500  0.8977
Tm  0.3341  0.2500  0.9258
Tm  0.6659  0.7500  0.0742
Tm  0.8341  0.2500  0.5742
Tm  0.1659  0.7500  0.4258

Results
E_form (eV/f.u.): -1.157
Energy above the lowest structure with this stoichiometry (meV/atom): 0.0
DFT total energy (eV/atom): -4.132